Record 1
Mg3SnPd | PBE | relaxed

Lattice parameters (Å, degrees): 9.684 9.684 5.835 106.91 106.91 56.78
Sites, in units of the cell vectors:
Mg: 0.049 0.548 0.297
Mg: 0.051 0.172 0.185
Mg: 0.172 0.051 0.685
Mg: 0.323 0.444 0.946
Mg: 0.444 0.323 0.446
Mg: 0.452 0.951 0.203
Mg: 0.548 0.049 0.797
Mg: 0.556 0.677 0.554
Mg: 0.677 0.556 0.054
Mg: 0.828 0.949 0.315
Mg: 0.949 0.828 0.815
Mg: 0.951 0.452 0.703
Sn: 0.202 0.798 0.250
Sn: 0.306 0.694 0.750
Sn: 0.694 0.306 0.250
Sn: 0.798 0.202 0.750
Pd: 0.246 0.249 0.042
Pd: 0.249 0.246 0.542
Pd: 0.751 0.754 0.458
Pd: 0.754 0.751 0.958

Properties
As for the energy above the lowest structure with this stoichiometry: 0.013 eV/atom. As for the space-group type: C2/c. As for the total energy: -3.160 eV per atom. As for the energy of formation: -0.3637 eV/atom.

***

Record 2
MgSnPd2 | PBE | relaxed

Lattice parameters (Å, degrees): 4.489 4.489 3.416 90.00 90.00 90.00
Sites, in units of the cell vectors:
Mg: 0.000 0.000 0.000
Sn: 0.500 0.500 0.000
Pd: 0.000 0.500 0.500
Pd: 0.500 0.000 0.500

Properties
As for the space-group type: P4/mmm. As for the total energy: -4.644 eV per atom. As for the energy of formation: -0.6486 eV/atom.

***

Record 3
Mg3Sn2Pd2 | PBE | relaxed

Lattice parameters (Å, degrees): 4.927 4.927 8.051 112.37 112.37 52.47
Sites, in units of the cell vectors:
Mg: 0.000 0.000 0.000
Mg: 0.125 0.125 0.412
Mg: 0.875 0.875 0.588
Sn: 0.370 0.370 0.200
Sn: 0.630 0.630 0.800
Pd: 0.317 0.317 0.782
Pd: 0.683 0.683 0.218

Properties
As for the space-group type: C2/m. As for the total energy: -3.779 eV per atom. As for the energy of formation: -0.4680 eV/atom.

***

Record 4
Mg7SnPd4 | PBE | relaxed

Lattice parameters (Å, degrees): 6.864 6.864 9.120 122.51 122.51 43.00
Sites, in units of the cell vectors:
Mg: 0.000 0.000 0.000
Mg: 0.196 0.196 0.639
Mg: 0.281 0.281 0.120
Mg: 0.436 0.436 0.622
Mg: 0.564 0.564 0.378
Mg: 0.719 0.719 0.880
Mg: 0.804 0.804 0.361
Sn: 0.500 0.500 0.000
Pd: 0.063 0.063 0.769
Pd: 0.197 0.197 0.347
Pd: 0.803 0.803 0.653
Pd: 0.937 0.937 0.231

Properties
As for the space-group type: C2/m. As for the total energy: -3.316 eV per atom. As for the energy of formation: -0.3211 eV/atom.

***

Record 5
Mg5SnPd3 | PBE | relaxed

Lattice parameters (Å, degrees): 6.366 6.366 10.137 98.97 98.97 79.33
Sites, in units of the cell vectors:
Mg: 0.022 0.022 0.354
Mg: 0.098 0.485 0.363
Mg: 0.180 0.820 0.000
Mg: 0.236 0.236 0.871
Mg: 0.485 0.098 0.363
Mg: 0.515 0.902 0.637
Mg: 0.764 0.764 0.129
Mg: 0.820 0.180 0.000
Mg: 0.902 0.515 0.637
Mg: 0.978 0.978 0.646
Sn: 0.489 0.489 0.750
Sn: 0.511 0.511 0.250
Pd: 0.224 0.224 0.138
Pd: 0.235 0.235 0.579
Pd: 0.500 0.500 0.000
Pd: 0.500 0.500 0.500
Pd: 0.765 0.765 0.421
Pd: 0.776 0.776 0.862

Properties
As for the space-group type: C2/m. As for the total energy: -3.387 eV per atom. As for the energy of formation: -0.3258 eV/atom.

***

Record 6
Mg4SnPd7 | PBE | relaxed

Lattice parameters (Å, degrees): 5.832 5.832 9.535 115.76 115.76 50.12
Sites, in units of the cell vectors:
Mg: 0.088 0.088 0.271
Mg: 0.268 0.268 0.841
Mg: 0.732 0.732 0.159
Mg: 0.912 0.912 0.729
Sn: 0.500 0.500 0.500
Pd: 0.000 0.000 0.500
Pd: 0.137 0.137 0.019
Pd: 0.288 0.288 0.578
Pd: 0.432 0.432 0.176
Pd: 0.568 0.568 0.824
Pd: 0.712 0.712 0.422
Pd: 0.863 0.863 0.981

Properties
As for the space-group type: C2/m. As for the total energy: -4.323 eV per atom. As for the energy of formation: -0.4285 eV/atom.

***

Record 7
Mg2SnPd | PBE | relaxed

Lattice parameters (Å, degrees): 6.255 6.255 6.255 101.76 101.76 126.32
Sites, in units of the cell vectors:
Mg: 0.074 0.125 0.449
Mg: 0.375 0.926 0.051
Mg: 0.676 0.625 0.551
Mg: 0.875 0.324 0.949
Sn: 0.250 0.750 0.500
Sn: 0.500 0.500 0.000
Pd: 0.000 0.000 0.000
Pd: 0.750 0.250 0.500

Properties
As for the space-group type: I-42d. As for the total energy: -3.262 eV per atom. As for the energy of formation: -0.1660 eV/atom.

***

Record 8
MgSnPd14 | PBE | relaxed

Lattice parameters (Å, degrees): 5.661 5.661 7.830 90.00 90.00 90.00
Sites, in units of the cell vectors:
Mg: 0.000 0.000 0.000
Sn: 0.500 0.500 0.000
Pd: 0.000 0.000 0.500
Pd: 0.000 0.500 0.000
Pd: 0.000 0.500 0.500
Pd: 0.249 0.249 0.250
Pd: 0.249 0.249 0.750
Pd: 0.249 0.751 0.250
Pd: 0.249 0.751 0.750
Pd: 0.500 0.000 0.000
Pd: 0.500 0.000 0.500
Pd: 0.500 0.500 0.500
Pd: 0.751 0.249 0.250
Pd: 0.751 0.249 0.750
Pd: 0.751 0.751 0.250
Pd: 0.751 0.751 0.750

Properties
As for the space-group type: P4/mmm. As for the total energy: -5.138 eV per atom. As for the energy of formation: -0.2445 eV/atom.

***

Record 9
Mg3Sn3Pd2 | PBE | relaxed

Lattice parameters (Å, degrees): 5.429 5.429 16.244 90.00 90.00 133.77
Sites, in units of the cell vectors:
Mg: 0.053 0.947 0.624
Mg: 0.053 0.947 0.876
Mg: 0.316 0.684 0.750
Mg: 0.684 0.316 0.250
Mg: 0.947 0.053 0.124
Mg: 0.947 0.053 0.376
Sn: 0.362 0.638 0.536
Sn: 0.362 0.638 0.964
Sn: 0.399 0.601 0.250
Sn: 0.601 0.399 0.750
Sn: 0.638 0.362 0.036
Sn: 0.638 0.362 0.464
Pd: 0.234 0.766 0.119
Pd: 0.234 0.766 0.381
Pd: 0.766 0.234 0.619
Pd: 0.766 0.234 0.881

Properties
As for the space-group type: Cmcm. As for the total energy: -3.783 eV per atom. As for the energy of formation: -0.3862 eV/atom.

***

Record 10
Mg6SnPd2 | PBE | relaxed

Lattice parameters (Å, degrees): 7.911 7.911 7.911 114.15 112.85 101.69
Sites, in units of the cell vectors:
Mg: 0.034 0.841 0.193
Mg: 0.249 0.542 0.292
Mg: 0.249 0.957 0.708
Mg: 0.299 0.315 0.613
Mg: 0.299 0.685 0.984
Mg: 0.352 0.159 0.193
Mg: 0.648 0.841 0.807
Mg: 0.701 0.315 0.016
Mg: 0.701 0.685 0.387
Mg: 0.751 0.043 0.292
Mg: 0.751 0.458 0.708
Mg: 0.966 0.159 0.807
Sn: 0.000 0.500 0.500
Sn: 0.500 0.000 0.500
Pd: 0.000 0.178 0.178
Pd: 0.000 0.822 0.822
Pd: 0.360 0.360 0.000
Pd: 0.640 0.640 0.000

Properties
As for the space-group type: Immm. As for the total energy: -3.054 eV per atom. As for the energy of formation: -0.3925 eV/atom.

***

Record 11
Mg2SnPd | PBE | relaxed

Lattice parameters (Å, degrees): 3.247 3.247 7.502 90.00 90.00 90.00
Sites, in units of the cell vectors:
Mg: 0.000 0.000 0.206
Mg: 0.000 0.000 0.794
Sn: 0.500 0.500 0.500
Pd: 0.500 0.500 0.000

Properties
As for the space-group type: P4/mmm. As for the total energy: -3.546 eV per atom. As for the energy of formation: -0.4502 eV/atom.

***

Record 12
MgSn2Pd5 | PBE | relaxed

Lattice parameters (Å, degrees): 6.880 6.880 6.880 139.26 139.26 58.98
Sites, in units of the cell vectors:
Mg: 0.000 0.000 0.000
Sn: 0.261 0.261 0.000
Sn: 0.739 0.739 0.000
Pd: 0.125 0.625 0.500
Pd: 0.375 0.875 0.500
Pd: 0.500 0.500 0.000
Pd: 0.625 0.125 0.500
Pd: 0.875 0.375 0.500

Properties
As for the energy above the lowest structure with this stoichiometry: 0.000 eV/atom. As for the space-group type: I4/mmm. As for the total energy: -4.933 eV per atom. As for the energy of formation: -0.4872 eV/atom.